[1]
Computed, not measured: a relaxed LiSc2Cu crystal at the PBE-GGA level of DFT.

## Properties
- Fermi-level density of states (states/eV per atom) = 0.723
- calculated total energy (eV/atom) = -4.695

abc: 3.352 3.352 6.679
angles: 90.00 90.00 90.00
Sites, in units of the cell vectors:
Li 0.000 0.000 0.000
Sc 0.000 0.000 0.588
Sc 0.500 0.500 0.265
Cu 0.500 0.500 0.815



[2]
Computed, not measured: a relaxed LiSc2Cu crystal at the PBE-GGA level of DFT.

## Properties
- Fermi-level density of states (states/eV per atom) = 1.326
- calculated total energy (eV/atom) = -4.562

abc: 3.973 3.973 9.520
angles: 90.00 90.00 90.00
Sites, in units of the cell vectors:
Li 0.000 0.000 0.000
Li 0.500 0.500 0.500
Sc 0.000 0.000 0.500
Sc 0.000 0.500 0.750
Sc 0.500 0.000 0.250
Sc 0.500 0.500 0.000
Cu 0.000 0.500 0.250
Cu 0.500 0.000 0.750